No. 1
The following is a DFT calculation (PBE-GGA) of a geometry-optimized Li2GaSn2 structure.

Summary:
Spin magnetization   0.0 Bohr magnetons per cell
VASP energy   -31.79 eV/cell
E_form   -1.03 eV/f.u.
Energy relative to the lowest polymorph listed for this composition   0.0 kJ/mol of atoms

abc: 4.3453 5.3932 11.1302
angles: 61.59 78.74 66.24
Last column: nearest neighbours and their distance in Å.
Positions (direct):
Ga 0.2500 0.7500 0.2500  6 Li 3.05-3.14, 6 Sn 3.06-3.20
Sn 0.5590 0.2354 0.1466  6 Li 2.99-3.15, 3 Ga 3.06-3.20, 3 Sn 3.11-3.18
Li 0.8486 0.7486 0.0543  6 Sn 2.99-3.15, 3 Ga 3.05-3.14, 3 Li 3.11-3.16
Sn 0.9411 0.2646 0.3534  6 Li 2.99-3.15, 3 Ga 3.06-3.20, 3 Sn 3.11-3.18
Sn 0.4410 0.7646 0.8534  6 Li 2.99-3.15, 3 Ga 3.06-3.20, 3 Sn 3.11-3.18
Li 0.1514 0.2514 0.9457  6 Sn 2.99-3.15, 3 Ga 3.05-3.14, 3 Li 3.11-3.16
Li 0.3485 0.2486 0.5543  6 Sn 2.99-3.15, 3 Ga 3.05-3.14, 3 Li 3.11-3.16
Ga 0.7500 0.2500 0.7500  6 Li 3.05-3.14, 6 Sn 3.06-3.20
Sn 0.0589 0.7354 0.6466  6 Li 2.99-3.15, 3 Ga 3.06-3.20, 3 Sn 3.11-3.18
Li 0.6515 0.7514 0.4457  6 Sn 2.99-3.15, 3 Ga 3.05-3.14, 3 Li 3.11-3.16

---

No. 2
The following is a DFT calculation (PBE-GGA) of a geometry-optimized Li2Ga3Sn structure.

Summary:
Spin magnetization   0.0 Bohr magnetons per cell
VASP energy   -35.84 eV/cell
E_form   -1.01 eV/f.u.
Energy relative to the lowest polymorph listed for this composition   2.2 kJ/mol of atoms

abc: 6.1625 5.5618 12.6490
angles: 72.64 34.97 75.50
Last column: nearest neighbours and their distance in Å.
Positions (direct):
Ga 0.8587 0.6305 0.9669  3 Ga 2.50-2.71
Sn 0.2640 0.0793 0.7795  4 Ga 2.81-3.12, 3 Li 3.00-3.13
Ga 0.1742 0.5490 0.1968  3 Ga 2.55-2.71, 3 Li 2.75-2.86, 1 Sn 2.81
Ga 0.9680 0.7194 0.5422  2 Ga 2.62-2.76, 1 Li 2.78, 1 Sn 2.93
Li 0.5178 0.3096 0.4325  5 Ga 2.75-2.99, 1 Li 2.96
Ga 0.1413 0.3695 0.0331  3 Ga 2.50-2.71
Ga 0.8258 0.4510 0.8032  3 Ga 2.55-2.71, 3 Li 2.75-2.86, 1 Sn 2.81
Sn 0.7360 0.9207 0.2205  4 Ga 2.81-3.12, 3 Li 3.00-3.13
Ga 0.0320 0.2806 0.4578  2 Ga 2.62-2.76, 1 Li 2.78, 1 Sn 2.93
Li 0.4822 0.6904 0.5675  5 Ga 2.75-2.99, 1 Li 2.96
Li 0.2791 0.0193 0.1945  6 Ga 2.83-3.03, 1 Sn 3.00, 2 Li 3.11-3.17
Li 0.7209 0.9807 0.8055  6 Ga 2.83-3.03, 1 Sn 3.00, 2 Li 3.11-3.17

---

No. 3
The following is a DFT calculation (PBE-GGA) of a geometry-optimized Li4Ga4Sn structure.

Summary:
Spin magnetization   0.0 Bohr magnetons per cell
VASP energy   -26.03 eV/cell
E_form   -2.27 eV/f.u.

abc: 4.0370 6.5552 6.5552
angles: 84.56 72.07 72.07
Last column: nearest neighbours and their distance in Å.
Positions (direct):
Ga 0.3406 0.6591 0.6596  5 Ga 2.81-2.83, 6 Li 2.90-2.93, 1 Sn 3.00
Li 0.3290 0.9996 0.3424  4 Li 2.82-3.02, 6 Ga 2.90-2.93, 2 Sn 2.94
Li 0.3286 0.3424 0.0004  4 Li 2.82-3.02, 6 Ga 2.90-2.93, 2 Sn 2.94
Ga 0.0002 0.3404 0.6591  5 Ga 2.81-2.83, 6 Li 2.90-2.93, 1 Sn 3.00
Li 0.6710 0.0004 0.6576  4 Li 2.82-3.02, 6 Ga 2.90-2.93, 2 Sn 2.94
Li 0.6714 0.6576 0.9996  4 Li 2.82-3.02, 6 Ga 2.90-2.93, 2 Sn 2.94
Sn 0.0000 0.0000 0.0000  8 Li 2.94, 4 Ga 3.00
Ga 0.9998 0.6596 0.3409  5 Ga 2.81-2.83, 6 Li 2.90-2.93, 1 Sn 3.00
Ga 0.6594 0.3409 0.3404  5 Ga 2.81-2.83, 6 Li 2.90-2.93, 1 Sn 3.00

---

No. 4
The following is a DFT calculation (PBE-GGA) of a geometry-optimized LiGa2Sn2 structure.

Summary:
Spin magnetization   0.0 Bohr magnetons per cell
VASP energy   -32.54 eV/cell
E_form   -0.30 eV/f.u.
Energy relative to the lowest polymorph listed for this composition   0.0 kJ/mol of atoms

abc: 7.3324 7.3324 4.1546
angles: 90.00 90.00 90.00
Last column: nearest neighbours and their distance in Å.
Positions (direct):
Sn 0.1788 0.6788 0.5000  6 Ga 2.89-3.08
Ga 0.8725 0.6275 0.0000  1 Ga 2.64, 2 Li 2.89, 2 Sn 2.89
Li 0.0000 0.0000 0.0000  4 Ga 2.89
Ga 0.1275 0.3725 0.0000  1 Ga 2.64, 2 Li 2.89, 2 Sn 2.89
Ga 0.6275 0.1275 0.0000  1 Ga 2.64, 2 Li 2.89, 2 Sn 2.89
Li 0.5000 0.5000 0.0000  4 Ga 2.89
Ga 0.3725 0.8725 0.0000  1 Ga 2.64, 2 Li 2.89, 2 Sn 2.89
Sn 0.6788 0.8212 0.5000  6 Ga 2.89-3.08
Sn 0.8212 0.3212 0.5000  6 Ga 2.89-3.08
Sn 0.3212 0.1788 0.5000  6 Ga 2.89-3.08

---

Question: What is the spin magnetization in the second record?
Answer: 0.0 Bohr magnetons per cell